The following is a PBE calculation of crystalline YbO2 at its relaxed geometry, from Alexandria.

Lattice parameters (Å, degrees): 5.129 5.129 3.513 90.00 90.00 90.00
Element x y z (fractional)
Yb 0.000 0.000 0.000
Yb 0.500 0.500 0.500
O 0.193 0.807 0.500
O 0.807 0.193 0.500
O 0.693 0.693 0.000
O 0.307 0.307 0.000

Output
The calculation puts the density of states at the Fermi level at 4.333 states/eV/f.u. For the uncorrected formation energy, the calculation gives -1991 meV/atom.